(1)
Ti2InB: relaxed, PBE.

V   14.9 Å³ per atom
Offset from the most stable computed form   0.2285 eV/atom
M_tot   0.0000 μB per atom
D(E_F)   0.7556 states/eV per atom
Final energy   -25.8 eV per cell
ΔE_f   -0.136 eV per atom

Cell: 2.7940 2.7940 7.6244 Å, 90.00 90.00 90.06°
Closest atoms and distances in Å follow each position.
Atoms (fractional coordinates):
Ti  0.0000  0.0000  0.3091  4 B 2.45
Ti  0.0000  0.0000  0.6909  4 B 2.45
In  0.5000  0.5000  0.0000  4 In 2.79, 8 Ti 3.07-3.08
B  0.5000  0.5000  0.5000  8 Ti 2.45

=====

(2)
TiIn2B: relaxed, PBE.

V   18.7 Å³ per atom
M_tot   0.0000 μB per atom
D(E_F)   0.5589 states/eV per atom
Final energy   -36.8 eV per cell
ΔE_f   0.410 eV per atom

Cell: 7.9505 7.9505 6.1019 Å, 49.35 49.35 90.00°
Closest atoms and distances in Å follow each position.
Atoms (fractional coordinates):
B  0.5000  0.5000  0.0000  2 Ti 2.37, 4 In 2.39
B  0.2500  0.7500  0.5000  2 Ti 2.37, 4 In 2.39
Ti  0.0000  0.0000  0.0000  2 B 2.37
Ti  0.7500  0.2500  0.5000  2 B 2.37
In  0.5239  0.1250  0.2500  2 B 2.39
In  0.2261  0.6250  0.2500  2 B 2.39
In  0.3750  0.4761  0.7500  2 B 2.39
In  0.8750  0.7739  0.7500  2 B 2.39

=====

> D(E_F) of number 1 (Ti2InB)?

0.7556 states/eV per atom